(1)
DFT (PBE) results for crystalline RuBr at its relaxed geometry.

Computed properties:
Relative energy among the computed polymorphs = 853 meV per atom
Space-group type = Pm-3m (221)
N(E_F) = 2.3 states/eV per cell
Final energy = -4.412 eV per atom

Lattice parameters (Å, degrees): 3.216 3.216 3.216 90.00 90.00 90.00
Atoms (fractional coordinates):
Ru1 0.000 0.000 0.000
Br1 0.500 0.500 0.500

=====

(2)
DFT (PBE) results for crystalline RuBr at its relaxed geometry.

Computed properties:
Relative energy among the computed polymorphs = 0 meV per atom
Space-group type = R-3m (166)
N(E_F) = 3.9 states/eV per cell
Final energy = -5.264 eV per atom

Lattice parameters (Å, degrees): 8.451 8.451 8.451 25.22 25.22 25.22
Atoms (fractional coordinates):
Ru1 0.145 0.145 0.145
Ru2 0.855 0.855 0.855
Br1 0.408 0.408 0.408
Br2 0.592 0.592 0.592

=====

(3)
DFT (PBE) results for crystalline RuBr8 at its relaxed geometry.

Computed properties:
Space-group type = I4/mmm (139)
N(E_F) = 7.9 states/eV per cell
Final energy = -2.352 eV per atom

Lattice parameters (Å, degrees): 7.529 7.529 7.529 109.25 109.25 109.91
Atoms (fractional coordinates):
Ru1 0.000 0.000 0.000
Br1 0.000 0.279 0.279
Br2 0.000 0.721 0.721
Br3 0.279 0.000 0.279
Br4 0.333 0.333 0.666
Br5 0.333 0.667 0.000
Br6 0.667 0.333 0.000
Br7 0.667 0.667 0.334
Br8 0.721 0.000 0.721

=====

Number 1: V 33.3 Å³/f.u.. Number 2: V 48.2 Å³/f.u.. Number 3: V 328.5 Å³/f.u..